# 1
AlIn3S at its PBEsol-relaxed geometry. Source: the Alexandria database, functional meta-GGA SCAN.

Formation energy from raw total energies   508 meV/atom
E   -23.00 eV/atom
Excess energy over the best structure of this formula in the dataset   0.2230 eV/atom
DOS(E_F)   3.3 states/eV/f.u.

a b c (Å): 5.161 5.161 5.161
angles (deg): 90.00 90.00 90.00
Fractional positions:
Al  0.000  0.000  0.000
In  0.000  0.500  0.500
In  0.500  0.000  0.500
In  0.500  0.500  0.000
S  0.500  0.500  0.500

# 2
AlIn3S at its PBEsol-relaxed geometry. Source: the Alexandria database, functional meta-GGA SCAN.

Formation energy from raw total energies   285 meV/atom
E   -23.22 eV/atom
Excess energy over the best structure of this formula in the dataset   0.0000 eV/atom
DOS(E_F)   1.6 states/eV/f.u.

a b c (Å): 5.177 5.177 5.177
angles (deg): 90.00 90.00 90.00
Fractional positions:
Al  0.000  0.000  0.000
In  0.000  0.000  0.500
In  0.000  0.500  0.000
In  0.500  0.000  0.000
S  0.500  0.500  0.500

# 3
AlInS3 at its PBEsol-relaxed geometry. Source: the Alexandria database, functional meta-GGA SCAN.

Formation energy from raw total energies   -980 meV/atom
E   -14.98 eV/atom
DOS(E_F)   0.0 states/eV/f.u.

a b c (Å): 6.688 6.688 17.758
angles (deg): 90.00 90.00 120.00
Fractional positions:
Al  0.016  0.330  0.000
Al  0.314  0.984  0.667
Al  0.330  0.314  0.833
Al  0.670  0.686  0.333
Al  0.686  0.016  0.167
Al  0.984  0.670  0.500
In  0.004  0.337  0.361
In  0.333  0.996  0.028
In  0.337  0.333  0.194
In  0.663  0.667  0.694
In  0.667  0.004  0.528
In  0.996  0.663  0.861
S  0.008  0.717  0.372
S  0.026  0.650  0.711
S  0.042  0.368  0.511
S  0.283  0.290  0.705
S  0.290  0.008  0.539
S  0.326  0.958  0.178
S  0.350  0.375  0.045
S  0.368  0.326  0.345
S  0.375  0.026  0.878
S  0.625  0.974  0.378
S  0.632  0.674  0.845
S  0.650  0.625  0.545
S  0.674  0.042  0.678
S  0.710  0.992  0.039
S  0.717  0.710  0.205
S  0.958  0.632  0.011
S  0.974  0.350  0.211
S  0.992  0.283  0.872

# 4
AlInSb at its PBEsol-relaxed geometry. Source: the Alexandria database, functional meta-GGA SCAN.

Formation energy from raw total energies   215 meV/atom
E   -25.92 eV/atom
Excess energy over the best structure of this formula in the dataset   0.0486 eV/atom
DOS(E_F)   1.5 states/eV/f.u.

a b c (Å): 3.199 3.199 7.915
angles (deg): 90.00 90.00 120.00
Fractional positions:
Al  0.000  0.000  0.000
In  0.333  0.667  0.687
Sb  0.667  0.333  0.303

# 5
AlInSb2 at its PBEsol-relaxed geometry. Source: the Alexandria database, functional meta-GGA SCAN.

Formation energy from raw total energies   -168 meV/atom
E   -29.08 eV/atom
Excess energy over the best structure of this formula in the dataset   0.0136 eV/atom

a b c (Å): 7.761 7.761 7.761
angles (deg): 33.55 33.55 33.55
Fractional positions:
Al  0.000  0.000  0.000
In  0.501  0.501  0.501
Sb  0.121  0.121  0.121
Sb  0.629  0.629  0.629

# 6
Al2In2Sb at its PBEsol-relaxed geometry. Source: the Alexandria database, functional meta-GGA SCAN.

Formation energy from raw total energies   218 meV/atom
E   -23.69 eV/atom
DOS(E_F)   2.6 states/eV/f.u.

a b c (Å): 8.414 8.414 8.414
angles (deg): 153.59 153.59 37.70
Fractional positions:
Al  0.250  0.750  0.500
Al  0.750  0.250  0.500
In  0.103  0.103  0.000
In  0.897  0.897  0.000
Sb  0.500  0.500  0.000

# 7
AlInSb2 at its PBEsol-relaxed geometry. Source: the Alexandria database, functional meta-GGA SCAN.

Formation energy from raw total energies   149 meV/atom
E   -28.77 eV/atom
Excess energy over the best structure of this formula in the dataset   0.3308 eV/atom
DOS(E_F)   2.1 states/eV/f.u.

a b c (Å): 6.261 6.261 6.261
angles (deg): 144.72 136.18 57.46
Fractional positions:
Al  0.000  0.000  0.000
In  0.500  0.500  0.000
Sb  0.203  0.703  0.500
Sb  0.797  0.297  0.500

# 8
AlInSb2 at its PBEsol-relaxed geometry. Source: the Alexandria database, functional meta-GGA SCAN.

Formation energy from raw total energies   -181 meV/atom
E   -29.10 eV/atom
Excess energy over the best structure of this formula in the dataset   0.0000 eV/atom

a b c (Å): 7.749 7.749 7.749
angles (deg): 131.76 131.76 70.61
Fractional positions:
Al  0.000  0.000  0.000
Al  0.750  0.250  0.500
In  0.250  0.750  0.500
In  0.500  0.500  0.000
Sb  0.105  0.625  0.980
Sb  0.375  0.355  0.480
Sb  0.645  0.125  0.020
Sb  0.875  0.895  0.520

# 9
AlInSb2 at its PBEsol-relaxed geometry. Source: the Alexandria database, functional meta-GGA SCAN.

Formation energy from raw total energies   12 meV/atom
E   -28.90 eV/atom
Excess energy over the best structure of this formula in the dataset   0.1933 eV/atom
DOS(E_F)   2.1 states/eV/f.u.

a b c (Å): 4.090 4.090 7.369
angles (deg): 106.18 106.18 60.00
Fractional positions:
Al  0.000  0.000  0.000
In  0.500  0.500  0.500
Sb  0.258  0.258  0.776
Sb  0.742  0.742  0.224

# 10
AlInSb at its PBEsol-relaxed geometry. Source: the Alexandria database, functional meta-GGA SCAN.

Formation energy from raw total energies   325 meV/atom
E   -25.81 eV/atom
Excess energy over the best structure of this formula in the dataset   0.1581 eV/atom
DOS(E_F)   1.6 states/eV/f.u.

a b c (Å): 4.892 4.892 4.892
angles (deg): 60.00 60.00 60.00
Fractional positions:
Al  0.000  0.000  0.000
In  0.250  0.250  0.250
Sb  0.500  0.500  0.500

# 11
AlInSb at its PBEsol-relaxed geometry. Source: the Alexandria database, functional meta-GGA SCAN.

Formation energy from raw total energies   166 meV/atom
E   -25.97 eV/atom
Excess energy over the best structure of this formula in the dataset   0.0000 eV/atom
DOS(E_F)   1.4 states/eV/f.u.

a b c (Å): 6.346 6.346 6.346
angles (deg): 150.48 146.23 45.46
Fractional positions:
Al  0.000  0.000  0.000
In  0.340  0.340  0.000
Sb  0.642  0.642  0.000

# 12
AlInSb2 at its PBEsol-relaxed geometry. Source: the Alexandria database, functional meta-GGA SCAN.

Formation energy from raw total energies   272 meV/atom
E   -28.64 eV/atom
Excess energy over the best structure of this formula in the dataset   0.4533 eV/atom
DOS(E_F)   2.8 states/eV/f.u.

a b c (Å): 5.170 5.170 5.170
angles (deg): 60.00 60.00 60.00
Fractional positions:
Al  0.000  0.000  0.000
In  0.250  0.250  0.250
Sb  0.500  0.500  0.500
Sb  0.750  0.750  0.750

> Among the records above, which one has the lowest formation energy from raw total energies?

AlInS3

What did the first record say?
AlIn3S at its PBEsol-relaxed geometry. Source: the Alexandria database, functional meta-GGA SCAN.

Formation energy from raw total energies   508 meV/atom
E   -23.00 eV/atom
Excess energy over the best structure of this formula in the dataset   0.2230 eV/atom
DOS(E_F)   3.3 states/eV/f.u.

a b c (Å): 5.161 5.161 5.161
angles (deg): 90.00 90.00 90.00
Fractional positions:
Al  0.000  0.000  0.000
In  0.000  0.500  0.500
In  0.500  0.000  0.500
In  0.500  0.500  0.000
S  0.500  0.500  0.500

Repeat the second record exactly.
AlIn3S at its PBEsol-relaxed geometry. Source: the Alexandria database, functional meta-GGA SCAN.

Formation energy from raw total energies   285 meV/atom
E   -23.22 eV/atom
Excess energy over the best structure of this formula in the dataset   0.0000 eV/atom
DOS(E_F)   1.6 states/eV/f.u.

a b c (Å): 5.177 5.177 5.177
angles (deg): 90.00 90.00 90.00
Fractional positions:
Al  0.000  0.000  0.000
In  0.000  0.000  0.500
In  0.000  0.500  0.000
In  0.500  0.000  0.000
S  0.500  0.500  0.500